Density functional theory data (PBEsol) for crystalline YPtSe2 at its relaxed geometry.

Cell lengths 3.9346, 3.9346, 9.8754 Å; angles 90.00, 90.00, 90.00 degrees
Last column: nearest neighbours and their distance in Å.
Space group I-4m2 (No. 119)
Inequivalent atoms, fractional coordinates:
Y  0.0000  0.0000  0.0000 x2  4 Se 2.78
Pt  0.0000  0.5000  0.2500 x2  4 Se 2.78
Se  0.0000  0.0000  0.5000 x2  4 Y 2.78
Se  0.0000  0.5000  0.7500 x2  4 Pt 2.78

Computed properties:
* uncorrected energy: -6.26 eV/atom
* mass density: 9.60 Mg/m³
* DOS(E_F): 3.5 states/eV per cell

=====

Density functional theory data (PBEsol) for crystalline Tl2ZnP at its relaxed geometry.

Cell lengths 3.3831, 3.3831, 7.6927 Å; angles 90.00, 90.00, 90.00 degrees
Last column: nearest neighbours and their distance in Å.
Space group P4/mmm (No. 123)
Inequivalent atoms, fractional coordinates:
Tl  0.0000  0.0000  0.2390 x2  4 P 3.02, 4 Zn 3.12
Zn  0.5000  0.5000  0.5000 x1  8 Tl 3.12, 4 Zn 3.38
P  0.5000  0.5000  0.0000 x1  8 Tl 3.02

Computed properties:
* uncorrected energy: -2.82 eV/atom
* mass density: 9.53 Mg/m³
* DOS(E_F): 1.5 states/eV per cell

=====

Density functional theory data (PBEsol) for crystalline SbAu at its relaxed geometry.

Cell lengths 12.0387, 3.9844, 3.9755 Å; angles 90.00, 108.68, 90.00 degrees
Last column: nearest neighbours and their distance in Å.
Space group C2/m (No. 12)
Inequivalent atoms, fractional coordinates:
Sb  0.1310  0.0000  0.1344 x4  5 Au 2.81-2.82, 1 Sb 2.99
Au  0.1219  0.5000  0.6249 x4  1 Au 2.78, 5 Sb 2.81-2.82

Computed properties:
* uncorrected energy: -4.28 eV/atom
* mass density: 11.72 Mg/m³
* DOS(E_F): 4.0 states/eV per cell

=====

Density functional theory data (PBEsol) for crystalline Cs2LiPdF6 at its relaxed geometry.

Cell lengths 8.5321, 8.5321, 8.5321 Å; angles 90.00, 90.00, 90.00 degrees
Last column: nearest neighbours and their distance in Å.
Space group Fm-3m (No. 225)
Inequivalent atoms, fractional coordinates:
Cs  0.2500  0.2500  0.2500 x8  12 F 3.02
Li  0.0000  0.0000  0.0000 x4  6 F 2.21
Pd  0.0000  0.0000  0.5000 x4  6 F 2.05
F  0.0000  0.0000  0.2596 x24  1 Pd 2.05, 1 Li 2.21

Computed properties:
* uncorrected energy: -4.39 eV/atom
* mass density: 5.27 Mg/m³
* DOS(E_F): 20.0 states/eV per cell

=====

Density functional theory data (PBEsol) for crystalline NaSeN2 at its relaxed geometry.

Cell lengths 3.0526, 3.0526, 19.8766 Å; angles 90.00, 90.00, 120.00 degrees
Last column: nearest neighbours and their distance in Å.
Space group R-3m (No. 166, hexagonal axes)
Inequivalent atoms, fractional coordinates:
Na  0.0000  0.0000  0.0000 x3  2 N 2.22
Se  0.0000  0.0000  0.5000 x3  6 N 2.07
N  0.0000  0.0000  0.1117 x6  3 Se 2.07, 1 Na 2.22

Computed properties:
* uncorrected energy: -4.71 eV/atom
* mass density: 4.04 Mg/m³
* DOS(E_F): 3.4 states/eV per cell

=====

Density functional theory data (PBEsol) for crystalline Co2NiMo at its relaxed geometry.

Cell lengths 3.5992, 3.5992, 3.4558 Å; angles 90.00, 90.00, 90.00 degrees
Last column: nearest neighbours and their distance in Å.
Space group P4/mmm (No. 123)
Inequivalent atoms, fractional coordinates:
Co  0.0000  0.5000  0.0000 x2  4 Mo 2.49, 4 Ni 2.49, 4 Co 2.55
Ni  0.0000  0.0000  0.5000 x1  8 Co 2.49, 4 Mo 2.55
Mo  0.5000  0.5000  0.5000 x1  8 Co 2.49, 4 Ni 2.55

Computed properties:
* uncorrected energy: -8.38 eV/atom
* mass density: 10.11 Mg/m³
* DOS(E_F): 2.7 states/eV per cell